## Rb2MoBr2Cl4 (PBE-GGA)

Data for crystalline Rb2MoBr2Cl4 at its relaxed geometry.

Computed properties:
- Energy: -3.923 eV per atom
- Space group: C2/m (12)
- Raw formation energy: -1312.2 meV per atom
- Total magnetic moment: 0.222 μB per atom

abc: 7.3568 7.3988 7.3988
angles: 59.79 60.28 60.28
Fractional coordinates of all 9 atoms:
Rb  0.2519  0.7491  0.7491
Rb  0.7481  0.2509  0.2509
Mo  0.5000  0.0000  0.0000
Br  0.2543  0.2444  0.2444
Br  0.7457  0.7556  0.7556
Cl  0.2706  0.7692  0.2289
Cl  0.7294  0.7711  0.2308
Cl  0.7294  0.2308  0.7711
Cl  0.2706  0.2289  0.7692